Material: Mg8AlAu6
Method: DFT, PBE
State: relaxed

Cell: 7.281 7.281 7.281 Å, 64.83 64.83 64.83°
Atoms (fractional coordinates):
Mg  0.043  0.385  0.723
Mg  0.166  0.166  0.166
Mg  0.277  0.957  0.615
Mg  0.385  0.723  0.043
Mg  0.615  0.277  0.957
Mg  0.723  0.043  0.385
Mg  0.834  0.834  0.834
Mg  0.957  0.615  0.277
Al  0.500  0.500  0.500
Au  0.122  0.769  0.444
Au  0.231  0.556  0.878
Au  0.444  0.122  0.769
Au  0.556  0.878  0.231
Au  0.769  0.444  0.122
Au  0.878  0.231  0.556

Results
energy relative to the elements: -0.53 eV per atom
crystal system: trigonal
final energy: -0.2161 Ry per atom
total magnetic moment: 0.0 μB per formula unit